First-principles (GGA-PBE) data for a relaxed structure of LiNiPPt, as listed in Alexandria via LeMat-Bulk.

Formation energy from the elements: -37.81 kJ per mole of atoms
Calculated density: 10.0 Mg/m³

Geometry as CIF:
```
data_LiNiPPt
_cell_length_a 5.785
_cell_length_b 5.785
_cell_length_c 5.785
_cell_angle_alpha 90.00
_cell_angle_beta 90.00
_cell_angle_gamma 90.00
_space_group_name_H-M_alt 'F -4 3 m'
_space_group_IT_number 216
_space_group_name_Hall 'F -4 2 3'
loop_
_atom_site_label
_atom_site_fract_x
_atom_site_fract_y
_atom_site_fract_z
_atom_site_occupancy
Li1 0.000 0.000 0.000 1
Ni1 0.250 0.250 0.750 1
P1 0.000 0.000 0.500 1
Pt1 0.250 0.250 0.250 1
```

First-principles (GGA-PBE) data for a relaxed structure of ZrMn2Al, as listed in Alexandria via LeMat-Bulk.

Formation energy from the elements: 36.66 kJ per mole of atoms
Calculated density: 5.5 Mg/m³

Geometry as CIF:
```
data_ZrMn2Al
_cell_length_a 7.059
_cell_length_b 7.059
_cell_length_c 5.496
_cell_angle_alpha 90.00
_cell_angle_beta 90.00
_cell_angle_gamma 90.00
_space_group_name_H-M_alt 'I -4 2 d'
_space_group_IT_number 122
_space_group_name_Hall 'I -4 2bw'
loop_
_atom_site_label
_atom_site_fract_x
_atom_site_fract_y
_atom_site_fract_z
_atom_site_occupancy
Zr1 0.000 0.000 0.000 1
Mn1 0.229 0.250 0.625 1
Al1 0.000 0.000 0.500 1
```

First-principles (GGA-PBE) data for a relaxed structure of KMg3, as listed in Alexandria via LeMat-Bulk.

Formation energy from the elements: 18.55 kJ per mole of atoms
Calculated density: 1.4 Mg/m³

Geometry as CIF:
```
data_KMg3
_cell_length_a 10.475
_cell_length_b 3.458
_cell_length_c 7.233
_cell_angle_alpha 90.00
_cell_angle_beta 97.19
_cell_angle_gamma 90.00
_space_group_name_H-M_alt 'C 1 2/m 1'
_space_group_IT_number 12
_space_group_name_Hall '-C 2y'
loop_
_atom_site_label
_atom_site_fract_x
_atom_site_fract_y
_atom_site_fract_z
_atom_site_occupancy
K1 0.000 0.000 0.000 1
Mg1 0.000 0.500 0.500 1
Mg2 0.236 0.000 0.673 1
```

First-principles (GGA-PBE) data for a relaxed structure of Al2AsSe, as listed in Alexandria via LeMat-Bulk.

Calculated density: 4.6 Mg/m³
Uncorrected formation energy: 17.82 kJ per mole of atoms

Geometry as CIF:
```
data_Al2AsSe
_cell_length_a 3.258
_cell_length_b 4.727
_cell_length_c 4.856
_cell_angle_alpha 90.00
_cell_angle_beta 90.00
_cell_angle_gamma 90.00
_space_group_name_H-M_alt 'P m m m'
_space_group_IT_number 47
_space_group_name_Hall '-P 2 2'
loop_
_atom_site_label
_atom_site_fract_x
_atom_site_fract_y
_atom_site_fract_z
_atom_site_occupancy
Al1 0.000 0.000 0.000 1
Al2 0.500 0.000 0.500 1
As1 0.000 0.500 0.500 1
Se1 0.500 0.500 0.000 1
```

First-principles (GGA-PBE) data for a relaxed structure of LiLa2HO3, as listed in Alexandria via LeMat-Bulk.

Calculated density: 6.3 Mg/m³

Geometry as CIF:
```
data_LiLa2HO3
_cell_length_a 3.581
_cell_length_b 3.800
_cell_length_c 12.909
_cell_angle_alpha 90.00
_cell_angle_beta 90.00
_cell_angle_gamma 90.00
_space_group_name_H-M_alt 'I m m m'
_space_group_IT_number 71
_space_group_name_Hall '-I 2 2'
loop_
_atom_site_label
_atom_site_fract_x
_atom_site_fract_y
_atom_site_fract_z
_atom_site_occupancy
Li1 0.000 0.000 0.000 1
La1 0.000 0.000 0.363 1
H1 0.000 0.500 0.500 1
O1 0.000 0.000 0.177 1
O2 0.000 0.500 0.000 1
```

First-principles (GGA-PBE) data for a relaxed structure of LiPmZn17, as listed in Alexandria via LeMat-Bulk.

Formation energy from the elements: -14.11 kJ per mole of atoms
Calculated density: 6.8 Mg/m³

Geometry as CIF:
```
data_LiPmZn17
_cell_length_a 8.9889
_cell_length_b 8.9889
_cell_length_c 13.2017
_cell_angle_alpha 90.00
_cell_angle_beta 90.00
_cell_angle_gamma 120.00
_space_group_name_H-M_alt 'R 3 m'
_space_group_IT_number 160
_space_group_name_Hall 'R 3 -2"'
loop_
_atom_site_label
_atom_site_fract_x
_atom_site_fract_y
_atom_site_fract_z
_atom_site_occupancy
Li1 0.0000 0.0000 0.0000 1
Pm1 0.0000 0.0000 0.6936 1
Zn1 0.0000 0.0000 0.2489 1
Zn2 0.0000 0.0000 0.4526 1
Zn3 0.0039 0.5019 0.5088 1
Zn4 0.0355 0.3631 0.0237 1
Zn5 0.1713 0.3426 0.1934 1
Zn6 0.1735 0.3469 0.5369 1
```

First-principles (GGA-PBE) data for a relaxed structure of Li2Nd2IrO6, as listed in Alexandria via LeMat-Bulk.

Calculated density: 7.1 Mg/m³
Uncorrected formation energy: -194.81 kJ per mole of atoms

Geometry as CIF:
```
data_Li2Nd2IrO6
_cell_length_a 5.6059
_cell_length_b 5.6059
_cell_length_c 15.1592
_cell_angle_alpha 90.00
_cell_angle_beta 90.00
_cell_angle_gamma 120.00
_space_group_name_H-M_alt 'R -3 m'
_space_group_IT_number 166
_space_group_name_Hall '-R 3 2"'
loop_
_atom_site_label
_atom_site_fract_x
_atom_site_fract_y
_atom_site_fract_z
_atom_site_occupancy
Li1 0.0000 0.0000 0.0744 1
Nd1 0.0000 0.0000 0.2861 1
Ir1 0.0000 0.0000 0.5000 1
O1 0.0285 0.5142 0.2570 1
```

First-principles (GGA-PBE) data for a relaxed structure of Ac3DySe6, as listed in Alexandria via LeMat-Bulk.

Calculated density: 6.2 Mg/m³
Uncorrected formation energy: -190.88 kJ per mole of atoms

Geometry as CIF:
```
data_Ac3DySe6
_cell_length_a 12.8273
_cell_length_b 12.8273
_cell_length_c 14.9312
_cell_angle_alpha 90.00
_cell_angle_beta 90.00
_cell_angle_gamma 120.00
_space_group_name_H-M_alt 'R -3'
_space_group_IT_number 148
_space_group_name_Hall '-R 3'
loop_
_atom_site_label
_atom_site_fract_x
_atom_site_fract_y
_atom_site_fract_z
_atom_site_occupancy
Ac1 0.0489 0.2705 0.1996 1
Dy1 0.0000 0.0000 0.0000 1
Dy2 0.0000 0.0000 0.5000 1
Se1 0.0244 0.2043 0.4002 1
Se2 0.0318 0.1907 0.8847 1
```

First-principles (GGA-PBE) data for a relaxed structure of ScSbSe4, as listed in Alexandria via LeMat-Bulk.

Calculated density: 6.0 Mg/m³
Uncorrected formation energy: 21.11 kJ per mole of atoms

Geometry as CIF:
```
data_ScSbSe4
_cell_length_a 8.120
_cell_length_b 8.120
_cell_length_c 8.120
_cell_angle_alpha 90.00
_cell_angle_beta 90.00
_cell_angle_gamma 90.00
_space_group_name_H-M_alt 'F -4 3 m'
_space_group_IT_number 216
_space_group_name_Hall 'F -4 2 3'
loop_
_atom_site_label
_atom_site_fract_x
_atom_site_fract_y
_atom_site_fract_z
_atom_site_occupancy
Sc1 0.000 0.000 0.000 1
Sb1 0.250 0.250 0.250 1
Se1 0.126 0.126 0.626 1
```

First-principles (GGA-PBE) data for a relaxed structure of TbThCoAg, as listed in Alexandria via LeMat-Bulk.

Formation energy from the elements: -7.64 kJ per mole of atoms
Calculated density: 10.2 Mg/m³

Geometry as CIF:
```
data_TbThCoAg
_cell_length_a 7.137
_cell_length_b 7.137
_cell_length_c 7.137
_cell_angle_alpha 90.00
_cell_angle_beta 90.00
_cell_angle_gamma 90.00
_space_group_name_H-M_alt 'F -4 3 m'
_space_group_IT_number 216
_space_group_name_Hall 'F -4 2 3'
loop_
_atom_site_label
_atom_site_fract_x
_atom_site_fract_y
_atom_site_fract_z
_atom_site_occupancy
Tb1 0.000 0.000 0.000 1
Th1 0.000 0.000 0.500 1
Co1 0.250 0.250 0.750 1
Ag1 0.250 0.250 0.250 1
```

First-principles (GGA-PBE) data for a relaxed structure of MoSN2Cl, as listed in Alexandria via LeMat-Bulk.

Calculated density: 4.1 Mg/m³
Uncorrected formation energy: 60.18 kJ per mole of atoms

Geometry as CIF:
```
data_MoSN2Cl
_cell_length_a 3.881
_cell_length_b 3.881
_cell_length_c 5.191
_cell_angle_alpha 90.00
_cell_angle_beta 90.00
_cell_angle_gamma 90.00
_space_group_name_H-M_alt 'P 4/m m m'
_space_group_IT_number 123
_space_group_name_Hall '-P 4 2'
loop_
_atom_site_label
_atom_site_fract_x
_atom_site_fract_y
_atom_site_fract_z
_atom_site_occupancy
Mo1 0.000 0.000 0.000 1
S1 0.000 0.000 0.500 1
N1 0.000 0.500 0.000 1
Cl1 0.500 0.500 0.500 1
```

First-principles (GGA-PBE) data for a relaxed structure of Ca4CdSi3Au12, as listed in Alexandria via LeMat-Bulk.

Calculated density: 9.5 Mg/m³
Uncorrected formation energy: -28.12 kJ per mole of atoms

Geometry as CIF:
```
data_Ca4CdSi3Au12
_cell_length_a 9.827
_cell_length_b 9.827
_cell_length_c 9.827
_cell_angle_alpha 90.00
_cell_angle_beta 90.00
_cell_angle_gamma 90.00
_space_group_name_H-M_alt 'I m -3 m'
_space_group_IT_number 229
_space_group_name_Hall '-I 4 2 3'
loop_
_atom_site_label
_atom_site_fract_x
_atom_site_fract_y
_atom_site_fract_z
_atom_site_occupancy
Ca1 0.250 0.250 0.250 1
Cd1 0.000 0.000 0.000 1
Si1 0.000 0.000 0.500 1
Au1 0.000 0.000 0.263 1
Au2 0.000 0.250 0.500 1
```

no.,DFT total energy (eV for the cell shown)
1,-82.85
2,-116.44
3,-10.22
4,-14.88
5,-96.00
6,-93.30
7,-222.55
8,-345.71
9,-92.32
10,-89.30
11,-30.34
12,-140.69